Ag2SnBiSe4: optimized geometry, GGA-PBEsol.

Computed properties:
As for the total moment: 0.00 μB per cell. Its electronic total energy is -4.047 eV per atom. The energy relative to the elements, uncorrected comes out at -0.23 eV per atom. As for the density of states at the Fermi level: 3.650 states/eV per cell.

Cell: 13.336 13.336 13.336 Å, 17.44 17.44 17.44°
Sites, in units of the cell vectors:
1 Ag 0.000 0.000 0.000
2 Ag 0.264 0.264 0.264
3 Sn 0.516 0.516 0.516
4 Bi 0.753 0.753 0.753
5 Se 0.134 0.134 0.134
6 Se 0.375 0.375 0.375
7 Se 0.633 0.633 0.633
8 Se 0.890 0.890 0.890